1.
The following is a DFT calculation (PBE-GGA) of an optimized crystal structure of KCa2Cu.

```
KCa2Cu
1.0
-7.031 0.216 6.283
1.033 -9.259 1.474
-0.625 -3.837 6.512
Ca K Cu
4 2 2
direct
0.728 0.125 0.250
0.022 0.625 0.250
0.375 0.272 0.750
0.875 0.978 0.750
0.500 0.500 0.000
0.250 0.750 0.500
0.000 0.000 0.000
0.750 0.250 0.500
```

N(E_F), states/eV/atom: 0.619
Magnetization, μB/atom: 0.000
E above lowest polymorph, kcal/mol of atoms: 4.46
ΔE_f, eV/atom: 0.240



2.
The following is a DFT calculation (PBE-GGA) of an optimized crystal structure of MnBr.

```
MnBr
1.0
4.125 0.000 0.000
0.000 4.125 0.000
0.000 0.000 6.074
Mn Br
2 2
direct
0.000 0.500 0.250
0.500 0.000 0.750
0.000 0.000 0.500
0.500 0.500 0.000
```

N(E_F), states/eV/atom: 0.978
Magnetization, μB/atom: 2.057
Uncorrected energy, eV per cell: -20.8



3.
The following is a DFT calculation (PBE-GGA) of an optimized crystal structure of CaTbEr2Se4.

```
CaTbEr2Se4
1.0
-0.428 3.886 1.126
-3.000 1.476 -6.234
-7.010 -0.922 0.515
Ca Tb Er Se
1 1 2 4
direct
0.000 0.500 0.500
0.500 0.500 0.000
0.000 0.000 0.000
0.500 0.000 0.500
0.000 0.755 0.748
0.000 0.245 0.252
0.500 0.756 0.248
0.500 0.244 0.752
```

N(E_F), states/eV/atom: 0.357
Magnetization, μB/atom: 0.000
Uncorrected energy, eV per cell: -44.0



4.
The following is a DFT calculation (PBE-GGA) of an optimized crystal structure of NbSn2Br2.

```
NbSn2Br2
1.0
7.871 0.000 0.000
0.000 7.871 0.000
0.000 0.000 5.576
Nb Sn Br
2 4 4
direct
0.000 0.000 0.000
0.500 0.500 0.000
0.264 0.764 0.000
0.764 0.736 0.000
0.736 0.236 0.000
0.236 0.264 0.000
0.192 0.692 0.500
0.692 0.808 0.500
0.808 0.308 0.500
0.308 0.192 0.500
```

N(E_F), states/eV/atom: 0.690
Magnetization, μB/atom: 0.450
E above lowest polymorph, kcal/mol of atoms: 0.00



5.
The following is a DFT calculation (PBE-GGA) of an optimized crystal structure of Pr2LuIn.

```
Pr2LuIn
1.0
4.994 0.000 0.000
0.000 4.922 0.000
0.000 0.000 4.922
Pr Lu In
2 1 1
direct
0.000 0.000 0.500
0.000 0.500 0.000
0.500 0.500 0.500
0.500 0.000 0.000
```

N(E_F), states/eV/atom: 1.202
Magnetization, μB/atom: 0.000
E above lowest polymorph, kcal/mol of atoms: 0.00
ΔE_f, eV/atom: -0.260



6.
The following is a DFT calculation (PBE-GGA) of an optimized crystal structure of LiTaAl.

```
LiTaAl
1.0
-0.226 1.547 -2.384
-2.102 -1.772 0.754
-3.188 5.405 3.811
Al Li Ta
1 1 1
direct
0.000 0.000 0.000
0.667 0.333 0.325
0.333 0.667 0.675
```

N(E_F), states/eV/atom: 1.069
Magnetization, μB/atom: 0.000
E above lowest polymorph, kcal/mol of atoms: 3.28
ΔE_f, eV/atom: 0.103



7.
The following is a DFT calculation (PBE-GGA) of an optimized crystal structure of RbGaSb.

```
RbGaSb
1.0
3.555 0.000 0.000
0.000 5.514 0.000
0.000 -2.757 4.775
Sb Ga Rb
1 1 1
direct
0.119 0.000 0.000
0.234 0.667 0.333
0.647 0.333 0.667
```

N(E_F), states/eV/atom: 0.642
Magnetization, μB/atom: 0.000
E above lowest polymorph, kcal/mol of atoms: 2.72



8.
The following is a DFT calculation (PBE-GGA) of an optimized crystal structure of Na3InBi2.

```
Na3InBi2
1.0
-5.923 -2.235 2.106
3.357 -4.960 4.177
1.464 8.800 2.890
Na In Bi
6 2 4
direct
0.434 0.674 0.348
0.566 0.326 0.652
0.086 0.826 0.652
0.914 0.174 0.348
0.500 0.750 0.000
0.500 0.250 0.000
0.000 0.250 0.000
0.000 0.750 0.000
0.346 0.121 0.242
0.654 0.879 0.758
0.105 0.379 0.758
0.895 0.621 0.242
```

N(E_F), states/eV/atom: 0.110
Magnetization, μB/atom: 0.000
E above lowest polymorph, kcal/mol of atoms: 0.62
ΔE_f, eV/atom: -0.278



9.
The following is a DFT calculation (PBE-GGA) of an optimized crystal structure of CeFeNiGe2.

```
CeFeNiGe2
1.0
-2.420 -2.671 2.020
2.107 0.724 3.480
-2.959 4.645 -1.627
Ce Fe Ni Ge
1 1 1 2
direct
0.000 0.000 0.000
0.250 0.750 0.500
0.750 0.250 0.500
0.631 0.631 0.262
0.369 0.369 0.738
```

N(E_F), states/eV/atom: 1.527
Magnetization, μB/atom: 0.234
ΔE_f, eV/atom: -0.547



10.
The following is a DFT calculation (PBE-GGA) of an optimized crystal structure of Cs2KBaAu.

```
Cs2KBaAu
1.0
-3.705 0.715 6.196
6.175 -0.594 3.761
0.796 6.521 -0.277
Cs K Au Ba
2 1 1 1
direct
0.000 0.500 0.000
0.500 0.000 0.000
0.500 0.500 0.500
0.000 0.000 0.000
0.000 0.000 0.500
```

N(E_F), states/eV/atom: 0.969
Magnetization, μB/atom: 0.000
ΔE_f, eV/atom: -0.135



11.
The following is a DFT calculation (PBE-GGA) of an optimized crystal structure of TaMo.

```
TaMo
1.0
5.378 0.002 0.007
0.590 5.358 -0.006
-2.522 -3.208 3.522
Mo Ta
3 3
direct
0.996 0.994 0.001
0.833 0.667 0.167
0.671 0.339 0.332
0.508 0.009 0.499
0.333 0.667 0.667
0.159 0.324 0.834
```

N(E_F), states/eV/atom: 0.586
Magnetization, μB/atom: 0.000
ΔE_f, eV/atom: -0.172



12.
The following is a DFT calculation (PBE-GGA) of an optimized crystal structure of Ac8Ni3Rh.

```
Ac8Ni3Rh
1.0
8.690 0.000 0.000
-4.345 6.197 -4.264
0.000 -0.323 8.376
Ac Ni Rh
8 3 1
direct
0.257 0.514 0.770
0.743 0.486 0.230
0.255 0.011 0.765
0.755 0.011 0.765
0.755 0.510 0.764
0.245 0.490 0.236
0.245 0.989 0.235
0.745 0.989 0.235
0.500 0.000 0.000
0.500 0.500 0.000
0.000 0.500 0.000
0.000 0.000 0.000
```

N(E_F), states/eV/atom: 1.009
Magnetization, μB/atom: 0.001
ΔE_f, eV/atom: -0.257



13.
The following is a DFT calculation (PBE-GGA) of an optimized crystal structure of Y2Ho5ErTm.

```
Y2Ho5ErTm
1.0
-3.933 -1.961 3.418
3.088 -7.990 -5.566
7.366 -2.185 7.223
Y Ho Er Tm
4 10 2 2
direct
0.887 0.774 0.818
0.110 0.220 0.736
0.113 0.226 0.318
0.890 0.780 0.236
0.390 0.780 0.022
0.718 0.435 0.808
0.480 0.960 0.739
0.300 0.600 0.707
0.980 0.961 0.524
0.610 0.220 0.522
0.282 0.565 0.308
0.520 0.040 0.239
0.700 0.400 0.207
0.020 0.039 0.024
0.587 0.175 0.960
0.413 0.825 0.460
0.799 0.599 0.510
0.201 0.401 0.010
```

N(E_F), states/eV/atom: 1.636
Magnetization, μB/atom: 0.000
ΔE_f, eV/atom: 0.153



14.
The following is a DFT calculation (PBE-GGA) of an optimized crystal structure of Pm12Co5Ag.

```
Pm12Co5Ag
1.0
7.946 0.108 -3.008
-4.091 6.984 -2.586
0.017 -0.108 8.496
Pm Co Ag
12 5 1
direct
0.521 0.817 0.704
0.479 0.183 0.296
0.887 0.183 0.704
0.113 0.817 0.296
0.694 0.683 0.377
0.306 0.317 0.623
0.306 0.683 0.989
0.694 0.317 0.011
0.809 0.607 0.798
0.191 0.393 0.202
0.191 0.989 0.798
0.809 0.011 0.202
0.623 0.623 0.000
0.377 0.377 0.000
0.500 0.113 0.613
0.500 0.887 0.387
0.000 0.000 0.000
0.000 0.500 0.500
```

N(E_F), states/eV/atom: 0.956
Magnetization, μB/atom: 0.000
ΔE_f, eV/atom: -0.110



15.
The following is a DFT calculation (PBE-GGA) of an optimized crystal structure of MgZr2Pt4.

```
MgZr2Pt4
1.0
8.287 0.000 0.000
0.000 5.194 -2.404
0.000 -0.266 6.239
Mg Zr Pt
2 4 8
direct
0.000 0.000 0.000
0.500 0.500 0.000
0.000 0.643 0.286
0.000 0.357 0.714
0.500 0.857 0.714
0.500 0.143 0.286
0.750 0.750 0.000
0.750 0.500 0.500
0.750 0.000 0.500
0.750 0.250 0.000
0.250 0.750 0.000
0.250 0.000 0.500
0.250 0.500 0.500
0.250 0.250 0.000
```

N(E_F), states/eV/atom: 0.779
Magnetization, μB/atom: 0.000
ΔE_f, eV/atom: -0.774



16.
The following is a DFT calculation (PBE-GGA) of an optimized crystal structure of PmSm12Er7.

```
PmSm12Er7
1.0
6.475 0.000 1.874
-3.659 9.353 4.563
-0.843 0.000 10.999
Pm Sm Er
1 12 7
direct
0.000 0.000 0.000
0.727 0.475 0.064
0.209 0.936 0.539
0.275 0.211 0.209
0.515 0.791 0.421
0.749 0.539 0.525
0.936 0.421 0.789
0.064 0.579 0.211
0.251 0.461 0.475
0.485 0.209 0.579
0.725 0.789 0.791
0.791 0.064 0.461
0.273 0.525 0.936
0.774 0.160 0.143
0.083 0.857 0.303
0.386 0.303 0.840
0.500 0.000 0.000
0.614 0.697 0.160
0.917 0.143 0.697
0.226 0.840 0.857
```

N(E_F), states/eV/atom: 1.233
Magnetization, μB/atom: 0.000
E above lowest polymorph, kcal/mol of atoms: 4.64
ΔE_f, eV/atom: 0.306



17.
The following is a DFT calculation (PBE-GGA) of an optimized crystal structure of Hf2CrIr2.

```
Hf2CrIr2
1.0
-4.000 -4.994 -0.435
4.427 -3.780 2.690
-1.564 0.917 3.862
Cr Ir Hf
2 4 4
direct
0.000 0.000 0.000
0.500 0.500 0.000
0.358 0.858 0.000
0.858 0.642 0.000
0.642 0.142 0.000
0.142 0.358 0.000
0.175 0.675 0.500
0.675 0.825 0.500
0.825 0.325 0.500
0.325 0.175 0.500
```

N(E_F), states/eV/atom: 0.950
Magnetization, μB/atom: 0.000
ΔE_f, eV/atom: -0.453



18.
The following is a DFT calculation (PBE-GGA) of an optimized crystal structure of Zn2Pd6Pt.

```
Zn2Pd6Pt
1.0
-1.579 -0.418 -3.630
-4.293 -4.165 0.164
-4.868 4.045 -0.531
Zn Pd Pt
2 6 1
direct
0.340 0.500 0.821
0.660 0.500 0.179
0.990 0.180 0.840
0.330 0.180 0.159
0.670 0.820 0.841
0.334 0.832 0.500
0.666 0.168 0.500
0.010 0.820 0.160
0.000 0.500 0.500
```

N(E_F), states/eV/atom: 0.750
Magnetization, μB/atom: 0.000
E above lowest polymorph, kcal/mol of atoms: 0.19
ΔE_f, eV/atom: -0.292



19.
The following is a DFT calculation (PBE-GGA) of an optimized crystal structure of Tb2SmDyEr.

```
Tb2SmDyEr
1.0
7.188 0.000 0.000
0.000 8.385 0.000
0.000 -4.192 5.724
Tb Sm Dy Er
4 2 2 2
direct
0.500 0.310 0.000
0.000 0.690 0.000
0.500 0.690 0.000
0.000 0.310 0.000
0.250 0.726 0.452
0.750 0.274 0.548
0.250 0.996 0.992
0.750 0.004 0.008
0.750 0.725 0.451
0.250 0.275 0.549
```

N(E_F), states/eV/atom: 1.536
Magnetization, μB/atom: 0.000
ΔE_f, eV/atom: 0.402



20.
The following is a DFT calculation (PBE-GGA) of an optimized crystal structure of PrNdSmGa.

```
PrNdSmGa
1.0
-0.047 -1.490 5.276
4.637 0.119 2.923
0.673 3.773 3.921
Pr Nd Ga Sm
1 1 1 1
direct
0.000 0.000 0.000
0.500 0.500 0.500
0.250 0.250 0.250
0.750 0.750 0.750
```

N(E_F), states/eV/atom: 1.922
Magnetization, μB/atom: 0.121
ΔE_f, eV/atom: -0.073



21.
The following is a DFT calculation (PBE-GGA) of an optimized crystal structure of KFe3Cl.

```
KFe3Cl
1.0
4.386 0.000 0.000
0.000 4.386 0.000
0.000 0.000 4.386
K Fe Cl
1 3 1
direct
0.500 0.500 0.500
0.000 0.500 0.000
0.000 0.000 0.500
0.500 0.000 0.000
0.000 0.000 0.000
```

N(E_F), states/eV/atom: 0.812
Magnetization, μB/atom: 1.200
E above lowest polymorph, kcal/mol of atoms: 0.00



22.
The following is a DFT calculation (PBE-GGA) of an optimized crystal structure of CdAs2O6F.

```
CdAs2O6F
1.0
4.863 0.184 0.191
1.794 8.140 1.119
1.794 0.817 8.176
Cd As O F
2 4 12 2
direct
0.250 0.129 0.871
0.750 0.871 0.129
0.382 0.756 0.585
0.118 0.415 0.244
0.618 0.244 0.415
0.882 0.585 0.756
0.235 0.842 0.760
0.265 0.240 0.158
0.765 0.158 0.240
0.735 0.760 0.842
0.535 0.863 0.402
0.965 0.598 0.137
0.465 0.137 0.598
0.035 0.402 0.863
0.111 0.663 0.560
0.389 0.440 0.337
0.889 0.337 0.440
0.611 0.560 0.663
0.250 0.914 0.086
0.750 0.086 0.914
```

N(E_F), states/eV/atom: 0.041
Magnetization, μB/atom: 0.101
Uncorrected energy, eV per cell: -103.8



23.
The following is a DFT calculation (PBE-GGA) of an optimized crystal structure of Ca2CdTe.

```
Ca2CdTe
1.0
2.384 -4.932 0.665
-0.111 -2.475 4.930
-3.116 -4.490 0.763
Ca Te Cd
2 1 1
direct
0.250 0.250 0.250
0.750 0.750 0.750
0.500 0.500 0.500
0.000 0.000 0.000
```

N(E_F), states/eV/atom: 1.138
Magnetization, μB/atom: 0.000
E above lowest polymorph, kcal/mol of atoms: 4.46